1.
A plane-wave DFT calculation with PBE was carried out for an optimized crystal structure of MnIn2Cl.

Cell lengths 3.327, 5.726, 5.022 Å; angles 90.00, 90.01, 90.00 degrees
Space group Pm (No. 6)
Inequivalent atoms, fractional coordinates:
Mn  0.000  0.000  0.000 x1
In  0.493  0.500  0.653 x1
In  0.500  0.000  0.490 x1
Cl  0.995  0.500  0.105 x1

Summary:
* density of states at the Fermi level: 1.432 states/eV per cell
* formation energy from raw total energies: -0.008 eV/atom
* spin magnetization: 4.27 μB per cell
* distance to the lowest polymorph of the same formula: 127.3 meV per atom


2.
A plane-wave DFT calculation with PBE was carried out for an optimized crystal structure of AcLa2S3.

Cell lengths 4.211, 5.962, 12.605 Å; angles 90.00, 90.00, 90.00 degrees
Space group Immm (No. 71)
Inequivalent atoms, fractional coordinates:
Ac  0.000  0.000  0.000 x2
La  0.000  0.000  0.334 x4
S  0.000  0.500  0.000 x2
S  0.000  0.500  0.328 x4

Summary:
* density of states at the Fermi level: 6.978 states/eV per cell
* formation energy from raw total energies: -2.107 eV/atom
* spin magnetization: 0.00 μB per cell


3.
A plane-wave DFT calculation with PBE was carried out for an optimized crystal structure of Ti3AgMo2.

Cell lengths 3.209, 3.209, 9.622 Å; angles 90.00, 90.00, 90.00 degrees
Space group P4/mmm (No. 123)
Inequivalent atoms, fractional coordinates:
Ti  0.000  0.000  0.000 x1
Ti  0.000  0.000  0.310 x2
Ag  0.500  0.500  0.500 x1
Mo  0.500  0.500  0.166 x2

Summary:
* density of states at the Fermi level: 5.785 states/eV per cell
* spin magnetization: 0.00 μB per cell
* formation energy from the elements: -0.090 eV/atom


4.
A plane-wave DFT calculation with PBE was carried out for an optimized crystal structure of YPb7.

Cell lengths 9.918, 9.918, 9.918 Å; angles 90.00, 90.00, 90.00 degrees
Space group Fm-3m (No. 225)
Inequivalent atoms, fractional coordinates:
Y  0.000  0.000  0.000 x4
Pb  0.000  0.000  0.500 x4
Pb  0.000  0.250  0.250 x24

Summary:
* density of states at the Fermi level: 34.627 states/eV per cell
* spin magnetization: 0.00 μB per cell
* formation energy from the elements: -0.114 eV/atom


5.
A plane-wave DFT calculation with PBE was carried out for an optimized crystal structure of Sm4SbRu2.

Cell lengths 7.038, 7.616, 7.955 Å; angles 106.07, 106.62, 104.39 degrees
Space group P1 (No. 1)
Inequivalent atoms, fractional coordinates:
Sm  0.000  0.000  0.000 x1
Sm  0.002  0.080  0.572 x1
Sm  0.115  0.525  0.939 x1
Sm  0.401  0.888  0.783 x1
Sm  0.410  0.532  0.347 x1
Sm  0.413  0.032  0.387 x1
Sm  0.565  0.461  0.801 x1
Sm  0.788  0.332  0.204 x1
Sb  0.669  0.819  0.166 x1
Sb  0.895  0.649  0.607 x1
Ru  0.063  0.738  0.323 x1
Ru  0.176  0.457  0.557 x1
Ru  0.344  0.246  0.975 x1
Ru  0.753  0.176  0.803 x1

Summary:
* density of states at the Fermi level: 7.782 states/eV per cell
* formation energy from raw total energies: -0.392 eV/atom
* spin magnetization: 0.00 μB per cell


6.
A plane-wave DFT calculation with PBE was carried out for an optimized crystal structure of Tb2DyY4.

Cell lengths 6.004, 6.673, 11.666 Å; angles 90.00, 104.45, 90.00 degrees
Space group P2_1/m (No. 11)
Inequivalent atoms, fractional coordinates:
Tb  0.094  0.250  0.490 x2
Tb  0.335  0.750  0.055 x2
Dy  0.474  0.750  0.639 x2
Y  0.159  0.005  0.790 x4
Y  0.229  0.250  0.079 x2
Y  0.359  0.750  0.340 x2

Summary:
* density of states at the Fermi level: 25.273 states/eV per cell
* spin magnetization: 0.00 μB per cell
* distance to the lowest polymorph of the same formula: 100.3 meV per atom
* formation energy from the elements: 0.135 eV/atom


7.
A plane-wave DFT calculation with PBE was carried out for an optimized crystal structure of La4ZnSn.

Cell lengths 9.281, 5.369, 8.956 Å; angles 90.00, 110.26, 90.00 degrees
Space group C2/m (No. 12)
Inequivalent atoms, fractional coordinates:
La  0.121  0.000  0.365 x4
La  0.136  0.500  0.908 x4
Zn  0.000  0.000  0.000 x2
Sn  0.000  0.500  0.500 x2

Summary:
* density of states at the Fermi level: 19.648 states/eV per cell
* spin magnetization: 0.05 μB per cell
* distance to the lowest polymorph of the same formula: 79.4 meV per atom
* formation energy from the elements: -0.249 eV/atom


8.
A plane-wave DFT calculation with PBE was carried out for an optimized crystal structure of Nb2Te2Br.

Cell lengths 3.959, 3.959, 17.410 Å; angles 90.00, 90.00, 90.00 degrees
Space group I4/mmm (No. 139)
Inequivalent atoms, fractional coordinates:
Nb  0.000  0.500  0.250 x4
Te  0.000  0.000  0.131 x4
Br  0.000  0.000  0.500 x2

Summary:
* density of states at the Fermi level: 16.871 states/eV per cell
* formation energy from raw total energies: -0.151 eV/atom
* spin magnetization: 0.00 μB per cell
* distance to the lowest polymorph of the same formula: 0.0 meV per atom


9.
A plane-wave DFT calculation with PBE was carried out for an optimized crystal structure of Fe2GeRh5.

Cell lengths 5.312, 10.368, 4.039 Å; angles 90.00, 90.00, 90.00 degrees
Space group Pbam (No. 55)
Inequivalent atoms, fractional coordinates:
Fe  0.166  0.139  0.000 x4
Ge  0.000  0.500  0.500 x2
Rh  0.000  0.000  0.500 x2
Rh  0.095  0.740  0.500 x4
Rh  0.181  0.391  0.000 x4

Summary:
* density of states at the Fermi level: 9.152 states/eV per cell
* spin magnetization: 18.19 μB per cell
* formation energy from the elements: -0.211 eV/atom


10.
A plane-wave DFT calculation with PBE was carried out for an optimized crystal structure of YCoB2I.

Cell lengths 4.869, 4.869, 5.145 Å; angles 90.00, 90.00, 90.00 degrees
Space group P4/mmm (No. 123)
Inequivalent atoms, fractional coordinates:
Y  0.000  0.000  0.000 x1
Co  0.000  0.000  0.500 x1
B  0.000  0.500  0.000 x2
I  0.500  0.500  0.500 x1

Summary:
* density of states at the Fermi level: 4.828 states/eV per cell
* formation energy from raw total energies: 1.975 eV/atom
* spin magnetization: 1.40 μB per cell


11.
A plane-wave DFT calculation with PBE was carried out for an optimized crystal structure of Y2ZnSi.

Cell lengths 4.0415, 4.0415, 20.9005 Å; angles 90.00, 90.00, 120.00 degrees
Space group R3m (No. 160, hexagonal axes)
Inequivalent atoms, fractional coordinates:
Y  0.0000  0.0000  0.0000 x3
Y  0.0000  0.0000  0.1936 x3
Zn  0.0000  0.0000  0.4206 x3
Si  0.0000  0.0000  0.7705 x3

Summary:
* density of states at the Fermi level: 9.220 states/eV per cell
* formation energy from raw total energies: -0.385 eV/atom
* spin magnetization: 0.00 μB per cell


12.
A plane-wave DFT calculation with PBE was carried out for an optimized crystal structure of Ta2ZnOs.

Cell lengths 2.8575, 2.8575, 28.0342 Å; angles 90.00, 90.00, 120.00 degrees
Space group R-3m (No. 166, hexagonal axes)
Inequivalent atoms, fractional coordinates:
Ta  0.0000  0.0000  0.2479 x6
Zn  0.0000  0.0000  0.0000 x3
Os  0.0000  0.0000  0.5000 x3

Summary:
* density of states at the Fermi level: 11.998 states/eV per cell
* spin magnetization: 0.00 μB per cell
* formation energy from the elements: 0.099 eV/atom


13.
A plane-wave DFT calculation with PBE was carried out for an optimized crystal structure of DyTmRuRh.

Cell lengths 6.775, 6.775, 6.775 Å; angles 90.00, 90.00, 90.00 degrees
Space group F-43m (No. 216)
Inequivalent atoms, fractional coordinates:
Dy  0.000  0.000  0.000 x4
Tm  0.000  0.000  0.500 x4
Ru  0.250  0.250  0.250 x4
Rh  0.250  0.250  0.750 x4

Summary:
* density of states at the Fermi level: 6.315 states/eV per cell
* spin magnetization: 0.00 μB per cell
* distance to the lowest polymorph of the same formula: 0.0 meV per atom
* formation energy from the elements: -0.677 eV/atom


14.
A plane-wave DFT calculation with PBE was carried out for an optimized crystal structure of PrZnSbO.

Cell lengths 4.219, 4.219, 9.671 Å; angles 90.00, 90.00, 90.00 degrees
Space group P4/nmm (No. 129, origin choice 2)
Inequivalent atoms, fractional coordinates:
Pr  0.250  0.250  0.118 x2
Zn  0.250  0.750  0.500 x2
Sb  0.250  0.250  0.682 x2
O  0.250  0.750  0.000 x2

Summary:
* density of states at the Fermi level: 1.041 states/eV per cell
* formation energy from raw total energies: -1.644 eV/atom
* spin magnetization: 0.00 μB per cell


15.
A plane-wave DFT calculation with PBE was carried out for an optimized crystal structure of La4Ni13C4.

Cell lengths 12.002, 12.132, 3.980 Å; angles 90.00, 90.00, 90.00 degrees
Space group Cmmm (No. 65)
Inequivalent atoms, fractional coordinates:
La  0.000  0.190  0.000 x4
La  0.157  0.500  0.000 x4
Ni  0.000  0.000  0.500 x2
Ni  0.109  0.325  0.500 x8
Ni  0.120  0.000  0.000 x4
Ni  0.181  0.110  0.500 x8
Ni  0.250  0.250  0.000 x4
C  0.000  0.444  0.500 x4
C  0.250  0.250  0.500 x4

Summary:
* density of states at the Fermi level: 22.413 states/eV per cell
* spin magnetization: 0.00 μB per cell
* formation energy from the elements: -0.277 eV/atom


16.
A plane-wave DFT calculation with PBE was carried out for an optimized crystal structure of PmNd4Y2Sc.

Cell lengths 5.911, 5.911, 7.543 Å; angles 90.00, 90.00, 90.00 degrees
Space group P4/mmm (No. 123)
Inequivalent atoms, fractional coordinates:
Pm  0.000  0.000  0.000 x1
Nd  0.000  0.500  0.241 x4
Y  0.000  0.000  0.500 x1
Y  0.500  0.500  0.500 x1
Sc  0.500  0.500  0.000 x1

Summary:
* density of states at the Fermi level: 14.809 states/eV per cell
* spin magnetization: 0.00 μB per cell
* formation energy from the elements: 0.104 eV/atom


17.
A plane-wave DFT calculation with PBE was carried out for an optimized crystal structure of PmDy4As5.

Cell lengths 4.144, 5.859, 20.713 Å; angles 90.00, 90.00, 90.00 degrees
Space group Immm (No. 71)
Inequivalent atoms, fractional coordinates:
Pm  0.000  0.000  0.000 x2
Dy  0.000  0.000  0.201 x4
Dy  0.000  0.000  0.400 x4
As  0.000  0.500  0.000 x2
As  0.000  0.500  0.200 x4
As  0.000  0.500  0.397 x4

Summary:
* density of states at the Fermi level: 3.308 states/eV per cell
* spin magnetization: 0.00 μB per cell
* formation energy from the elements: -1.531 eV/atom


18.
A plane-wave DFT calculation with PBE was carried out for an optimized crystal structure of Pm3Nd3Sc.

Cell lengths 9.6650, 9.6650, 5.8028 Å; angles 90.00, 90.00, 120.00 degrees
Space group P6_3/m (No. 176)
Inequivalent atoms, fractional coordinates:
Pm  0.0971  0.4808  0.2500 x6
Nd  0.0524  0.2444  0.7500 x6
Sc  0.3333  0.6667  0.7500 x2

Summary:
* density of states at the Fermi level: 23.440 states/eV per cell
* spin magnetization: 0.00 μB per cell
* distance to the lowest polymorph of the same formula: 0.0 meV per atom
* formation energy from the elements: 0.044 eV/atom


19.
A plane-wave DFT calculation with PBE was carried out for an optimized crystal structure of Rb3Sr2Br7.

Cell lengths 6.043, 29.088, 5.887 Å; angles 90.00, 90.00, 90.00 degrees
Space group Cmmm (No. 65)
Inequivalent atoms, fractional coordinates:
Rb  0.000  0.000  0.000 x2
Rb  0.000  0.183  0.000 x4
Sr  0.000  0.395  0.500 x4
Br  0.000  0.099  0.500 x4
Br  0.000  0.294  0.500 x4
Br  0.000  0.398  0.000 x4
Br  0.000  0.500  0.500 x2

Summary:
* density of states at the Fermi level: 0.000 states/eV per cell
* formation energy from raw total energies: -1.867 eV/atom
* spin magnetization: 0.00 μB per cell


20.
A plane-wave DFT calculation with PBE was carried out for an optimized crystal structure of PrAl2Cu3.

Cell lengths 9.848, 8.057, 5.267 Å; angles 90.00, 90.00, 90.00 degrees
Space group Cmcm (No. 63)
Inequivalent atoms, fractional coordinates:
Pr  0.000  0.186  0.250 x4
Al  0.210  0.500  0.000 x8
Cu  0.000  0.433  0.750 x4
Cu  0.182  0.221  0.750 x8

Summary:
* density of states at the Fermi level: 13.874 states/eV per cell
* spin magnetization: 0.00 μB per cell
* formation energy from the elements: -0.338 eV/atom


21.
A plane-wave DFT calculation with PBE was carried out for an optimized crystal structure of LaPS4.

Cell lengths 9.249, 9.249, 7.362 Å; angles 90.00, 90.00, 90.00 degrees
Space group I4_1/amd (No. 141, origin choice 2)
Inequivalent atoms, fractional coordinates:
La  0.000  0.250  0.375 x4
P  0.000  0.250  0.875 x4
S  0.000  0.077  0.700 x16

Summary:
* formation energy from raw total energies: -1.013 eV/atom
* spin magnetization: 0.00 μB per cell


22.
A plane-wave DFT calculation with PBE was carried out for an optimized crystal structure of Ac2Mg6Tl.

Cell lengths 10.780, 6.873, 7.015 Å; angles 90.00, 96.43, 90.00 degrees
Space group C2/m (No. 12)
Inequivalent atoms, fractional coordinates:
Ac  0.162  0.000  0.375 x4
Mg  0.110  0.224  0.855 x8
Mg  0.143  0.500  0.175 x4
Tl  0.000  0.500  0.500 x2

Summary:
* density of states at the Fermi level: 14.396 states/eV per cell
* spin magnetization: 0.00 μB per cell
* formation energy from the elements: -0.091 eV/atom


23.
A plane-wave DFT calculation with PBE was carried out for an optimized crystal structure of SrAl5.

Cell lengths 4.385, 12.780, 4.424 Å; angles 90.00, 90.00, 90.00 degrees
Space group Cmmm (No. 65)
Inequivalent atoms, fractional coordinates:
Sr  0.000  0.000  0.000 x2
Al  0.000  0.178  0.500 x4
Al  0.000  0.315  0.000 x4
Al  0.000  0.500  0.500 x2

Summary:
* density of states at the Fermi level: 3.521 states/eV per cell
* spin magnetization: 0.00 μB per cell
* formation energy from the elements: 0.004 eV/atom